Below is a relaxed structure of Ac6IrPt2Se3, with properties calculated at the PBE-GGA level.

Cell lengths 7.5428, 7.5428, 8.1371 Å; angles 98.91, 98.91, 120.04 degrees
With the nearest neighbours (Å) after each atom.
Positions (direct):
1 Ac 0.0752 0.4010 0.2257  1 Ir 3.01, 2 Pt 3.08-3.09, 3 Se 3.27-3.33
2 Ac 0.2507 0.2507 0.7744  1 Ir 3.02, 2 Pt 3.08, 3 Se 3.27-3.33
3 Ac 0.4010 0.0752 0.2257  1 Ir 3.01, 2 Pt 3.08-3.09, 3 Se 3.27-3.33
4 Ac 0.5990 0.9248 0.7743  1 Ir 3.01, 2 Pt 3.08-3.09, 3 Se 3.27-3.33
5 Ac 0.7493 0.7493 0.2256  1 Ir 3.02, 2 Pt 3.08, 3 Se 3.27-3.33
6 Ac 0.9248 0.5990 0.7743  1 Ir 3.01, 2 Pt 3.08-3.09, 3 Se 3.27-3.33
7 Ir 0.0000 0.0000 0.0000  6 Ac 3.01-3.02
8 Pt 0.3334 0.6666 0.0000  6 Ac 3.08-3.09
9 Pt 0.6666 0.3334 0.0000  6 Ac 3.08-3.09
10 Se 0.1673 0.8327 0.5000  6 Ac 3.27-3.33
11 Se 0.5000 0.5000 0.5000  6 Ac 3.27-3.33
12 Se 0.8327 0.1673 0.5000  6 Ac 3.27-3.33

M_tot: 0.00 μB/f.u.
VASP energy: -6.117 eV/atom
SG: C2/m, No. 12
raw formation energy: -1.45 eV/atom

=====

Below is a relaxed structure of Ac4Ir2PtSe, with properties calculated at the PBE-GGA level.

Cell lengths 7.6011, 4.3581, 7.7257 Å; angles 90.00, 109.03, 90.00 degrees
With the nearest neighbours (Å) after each atom.
Positions (direct):
1 Ac 0.2380 0.0000 0.2281  3 Ir 3.01-3.06, 1 Pt 3.19, 2 Se 3.22
2 Ac 0.2510 0.5000 0.7651  3 Ir 3.03-3.06, 2 Pt 3.17, 1 Se 3.21
3 Ac 0.7490 0.5000 0.2349  3 Ir 3.03-3.06, 2 Pt 3.17, 1 Se 3.21
4 Ac 0.7620 0.0000 0.7719  3 Ir 3.01-3.06, 1 Pt 3.19, 2 Se 3.22
5 Ir 0.0000 0.5000 0.0000  6 Ac 3.01-3.03
6 Ir 0.5000 0.0000 0.0000  6 Ac 3.06
7 Pt 0.0000 0.0000 0.5000  6 Ac 3.17-3.19
8 Se 0.5000 0.5000 0.5000  6 Ac 3.21-3.22

M_tot: 0.00 μB/f.u.
VASP energy: -6.494 eV/atom
SG: P2/m, No. 10
raw formation energy: -1.03 eV/atom

=====

Below is a relaxed structure of Ac8IrPt3Se4, with properties calculated at the PBE-GGA level.

Cell lengths 9.2380, 9.2380, 9.2380 Å; angles 56.22, 56.22, 56.22 degrees
With the nearest neighbours (Å) after each atom.
Positions (direct):
1 Ac 0.2423 0.2423 0.2423  3 Pt 3.07, 3 Se 3.29
2 Ac 0.2476 0.7391 0.7391  1 Ir 3.03, 2 Pt 3.08, 3 Se 3.28-3.32
3 Ac 0.2609 0.2609 0.7524  1 Ir 3.03, 2 Pt 3.08, 3 Se 3.28-3.32
4 Ac 0.2609 0.7524 0.2609  1 Ir 3.03, 2 Pt 3.08, 3 Se 3.28-3.32
5 Ac 0.7391 0.2476 0.7391  1 Ir 3.03, 2 Pt 3.08, 3 Se 3.28-3.32
6 Ac 0.7391 0.7391 0.2476  1 Ir 3.03, 2 Pt 3.08, 3 Se 3.28-3.32
7 Ac 0.7524 0.2609 0.2609  1 Ir 3.03, 2 Pt 3.08, 3 Se 3.28-3.32
8 Ac 0.7577 0.7577 0.7577  3 Pt 3.07, 3 Se 3.29
9 Ir 0.5000 0.5000 0.5000  6 Ac 3.03
10 Pt 0.0000 0.0000 0.5000  6 Ac 3.07-3.08
11 Pt 0.0000 0.5000 0.0000  6 Ac 3.07-3.08
12 Pt 0.5000 0.0000 0.0000  6 Ac 3.07-3.08
13 Se 0.0000 0.0000 0.0000  6 Ac 3.32
14 Se 0.0000 0.5000 0.5000  6 Ac 3.28-3.29
15 Se 0.5000 0.0000 0.5000  6 Ac 3.28-3.29
16 Se 0.5000 0.5000 0.0000  6 Ac 3.28-3.29

M_tot: 0.00 μB/f.u.
VASP energy: -6.076 eV/atom
SG: R-3m, No. 166
raw formation energy: -1.46 eV/atom